#P
Entry from the Alexandria database: a geometry-optimized LaCeSb2 structure (PBE).

a = 4.563 Å, b = 4.563 Å, c = 7.915 Å
α = 73.25°, β = 73.25°, γ = 60.00°
Positions (direct):
Sb  0.747  0.747  0.758
Sb  0.253  0.253  0.242
Ce  0.000  0.000  0.000
La  0.500  0.500  0.500

Properties
SG: R-3m, No. 166
M_tot: 0.79 μB per cell
Crystal system: trigonal

#Q
Entry from the Alexandria database: a geometry-optimized LaCeSb2 structure (PBE).

a = 4.908 Å, b = 6.431 Å, c = 8.542 Å
α = 109.48°, β = 90.00°, γ = 90.00°
Positions (direct):
La  0.250  0.253  0.189
La  0.750  0.747  0.811
Ce  0.750  0.739  0.310
Ce  0.250  0.261  0.690
Sb  0.750  0.266  0.446
Sb  0.250  0.734  0.554
Sb  0.250  0.722  0.059
Sb  0.750  0.278  0.941

Properties
SG: P2_1/m, No. 11
M_tot: 1.78 μB per cell
Crystal system: monoclinic

#R
Entry from the Alexandria database: a geometry-optimized LaCeSb2 structure (PBE).

a = 3.454 Å, b = 5.831 Å, c = 5.831 Å
α = 90.00°, β = 90.00°, γ = 90.00°
Positions (direct):
Sb  0.000  0.000  0.500
Sb  0.000  0.500  0.000
Ce  0.500  0.000  0.000
La  0.500  0.500  0.500

Properties
SG: P4/mmm, No. 123
M_tot: 1.35 μB per cell
Crystal system: tetragonal

Least stable of them? #R.

#P
Entry from the Alexandria database: a geometry-optimized LaCe2Sb structure (PBE).

a = 4.455 Å, b = 4.573 Å, c = 11.801 Å
α = 100.39°, β = 90.00°, γ = 90.00°
Positions (direct):
La  0.250  0.302  0.613
La  0.750  0.698  0.387
Ce  0.750  0.400  0.890
Ce  0.250  0.600  0.110
Ce  0.250  0.005  0.886
Ce  0.750  0.995  0.114
Sb  0.750  0.826  0.675
Sb  0.250  0.174  0.325

Properties
SG: P2_1/m, No. 11
M_tot: 0.01 μB per cell
Crystal system: monoclinic

#Q
Entry from the Alexandria database: a geometry-optimized LaCe2Sb structure (PBE).

a = 4.929 Å, b = 4.803 Å, c = 4.803 Å
α = 90.00°, β = 90.00°, γ = 90.00°
Positions (direct):
Sb  0.500  0.000  0.000
Ce  0.000  0.000  0.500
Ce  0.000  0.500  0.000
La  0.500  0.500  0.500

Properties
SG: P4/mmm, No. 123
M_tot: 2.03 μB per cell
Crystal system: tetragonal

Least stable of them? #Q.

#P
Entry from the Alexandria database: a geometry-optimized LaCe2Sb structure (PBE).

a = 4.206 Å, b = 4.206 Å, c = 6.975 Å
α = 90.00°, β = 90.00°, γ = 90.00°
Positions (direct):
Sb  0.500  0.500  0.500
Ce  0.000  0.000  0.693
Ce  0.000  0.000  0.307
La  0.500  0.500  0.000

Properties
SG: P4/mmm, No. 123
M_tot: 1.47 μB per cell
Crystal system: tetragonal

#Q
Entry from the Alexandria database: a geometry-optimized LaCe2Sb structure (PBE).

a = 5.456 Å, b = 5.456 Å, c = 5.456 Å
α = 60.00°, β = 60.00°, γ = 60.00°
Positions (direct):
Sb  0.500  0.500  0.500
Ce  0.250  0.250  0.250
Ce  0.750  0.750  0.750
La  0.000  0.000  0.000

Properties
SG: Fm-3m, No. 225
M_tot: 2.82 μB per cell
Crystal system: cubic

Least stable of them? #Q.

#P
Entry from the Alexandria database: a geometry-optimized LaCeSc structure (PBE).

a = 3.125 Å, b = 3.125 Å, c = 9.236 Å
α = 99.74°, β = 99.74°, γ = 90.00°
Positions (direct):
Sc  0.124  0.124  0.248
Ce  0.944  0.944  0.889
La  0.781  0.781  0.563

Properties
SG: I4mm, No. 107
M_tot: 0.90 μB per cell
Crystal system: tetragonal

#Q
Entry from the Alexandria database: a geometry-optimized LaCeSc structure (PBE).

a = 3.989 Å, b = 6.360 Å, c = 3.989 Å
α = 71.72°, β = 90.00°, γ = 108.28°
Positions (direct):
Ce  0.371  0.741  0.629
La  0.056  0.112  0.944
Sc  0.723  0.447  0.277

Properties
SG: I4mm, No. 107
M_tot: 0.96 μB per cell
Crystal system: tetragonal

Least stable of them? #P.